## CsVS3 (GGA-PBE)

Data for a relaxed CsVS3 crystal.

Computed properties:
energy relative to the lowest polymorph listed for this composition	80	meV per atom
V	358.6	Å³/cell
spin magnetization	0.0	μB/f.u.
E_form (uncorrected)	-0.905	eV/atom

The structure in POSCAR format:
```
CsVS3
1.0
-4.704 5.724 3.721
0.127 -2.878 -7.774
-4.645 -4.962 1.761
Cs S V
2 6 2
Direct
0.373 0.627 0.250 Cs
0.627 0.373 0.750 Cs
0.914 0.578 0.250 S
0.000 0.000 0.500 S
0.000 0.000 0.000 S
0.422 0.086 0.250 S
0.086 0.422 0.750 S
0.578 0.914 0.750 S
0.911 0.089 0.750 V
0.089 0.911 0.250 V
```

=====

## YAgS2 (GGA-PBE)

Data for a relaxed YAgS2 crystal.

Computed properties:
V	770.8	Å³/cell
spin magnetization	0.0	μB/f.u.
E_form (uncorrected)	-1.303	eV/atom

The structure in POSCAR format:
```
YAgS2
1.0
22.381 0.000 -4.132
4.873 4.292 -4.912
-4.873 4.292 4.912
S Y Ag
16 8 8
Direct
0.993 0.724 0.702 S
0.743 0.238 0.230 S
0.516 0.708 0.229 S
0.257 0.762 0.770 S
0.484 0.292 0.771 S
0.243 0.270 0.262 S
0.007 0.276 0.298 S
0.757 0.730 0.738 S
0.750 0.766 0.266 S
0.016 0.271 0.792 S
0.984 0.729 0.208 S
0.493 0.798 0.776 S
0.507 0.202 0.224 S
0.750 0.202 0.702 S
0.250 0.234 0.734 S
0.250 0.798 0.298 S
0.878 0.745 0.744 Y
0.363 0.279 0.746 Y
0.137 0.246 0.779 Y
0.863 0.754 0.221 Y
0.622 0.244 0.245 Y
0.378 0.756 0.755 Y
0.122 0.255 0.256 Y
0.637 0.721 0.254 Y
0.425 0.918 0.395 Ag
0.349 0.609 0.159 Ag
0.575 0.082 0.605 Ag
0.651 0.391 0.841 Ag
0.849 0.341 0.891 Ag
0.075 0.895 0.418 Ag
0.151 0.659 0.109 Ag
0.925 0.105 0.582 Ag
```

=====

## ZrSiIrPd2 (GGA-PBE)

Data for a relaxed ZrSiIrPd2 crystal.

Computed properties:
V	117.3	Å³/cell
spin magnetization	0.0	μB/f.u.
E_form (uncorrected)	1.110	eV/atom

The structure in POSCAR format:
```
ZrSiIrPd2
1.0
-0.459 3.763 -3.127
-1.744 -3.019 -3.377
-4.563 0.805 1.638
Ir Si Pd Zr
1 1 2 1
Direct
0.000 0.500 0.000 Ir
0.500 0.500 0.500 Si
0.500 0.000 0.000 Pd
0.000 0.000 0.500 Pd
0.000 0.000 0.000 Zr
```

=====

## Pu3SnAs2Rh9 (GGA-PBE)

Data for a relaxed Pu3SnAs2Rh9 crystal.

Computed properties:
V	305.1	Å³/cell
ΔH_f (0 K)	-132.7	meV per atom
spin magnetization	14.5	μB/f.u.

The structure in POSCAR format:
```
Pu3SnAs2Rh9
1.0
-4.697 -2.298 4.919
6.805 1.315 1.873
-1.650 6.472 1.449
As Pu Rh Sn
2 3 9 1
Direct
0.667 0.333 0.850 As
0.333 0.667 0.150 As
0.667 0.333 0.301 Pu
0.333 0.667 0.699 Pu
0.000 0.000 0.000 Pu
0.606 0.803 0.388 Rh
0.000 0.500 0.000 Rh
0.197 0.394 0.388 Rh
0.197 0.803 0.388 Rh
0.500 0.000 0.000 Rh
0.394 0.197 0.612 Rh
0.803 0.606 0.612 Rh
0.803 0.197 0.612 Rh
0.500 0.500 0.000 Rh
0.000 0.000 0.500 Sn
```

=====

## La4NiAs (GGA-PBE)

Data for a relaxed La4NiAs crystal.

Computed properties:
V	173.6	Å³/cell
ΔH_f (0 K)	404.9	meV per atom
spin magnetization	0.0	μB/f.u.

The structure in POSCAR format:
```
La4NiAs
1.0
1.421 -6.058 0.700
2.466 -2.035 5.383
-3.400 -3.589 3.842
La Ni As
4 1 1
Direct
0.878 0.374 0.374 La
0.374 0.374 0.374 La
0.374 0.878 0.374 La
0.374 0.374 0.878 La
0.750 0.750 0.750 Ni
0.000 0.000 0.000 As
```

=====

## Ca2LuBr (GGA-PBE)

Data for a relaxed Ca2LuBr crystal.

Computed properties:
V	128.5	Å³/cell
spin magnetization	0.8	μB/f.u.
E_form (uncorrected)	-0.608	eV/atom

The structure in POSCAR format:
```
Ca2LuBr
1.0
-1.100 -0.697 3.560
-2.803 -2.462 0.670
5.586 -8.723 2.036
Lu Ca Br
1 2 1
Direct
0.500 0.500 0.500 Lu
0.260 0.260 0.221 Ca
0.740 0.740 0.779 Ca
0.000 0.000 0.000 Br
```

=====

## Y3Tm2Cu3 (GGA-PBE)

Data for a relaxed Y3Tm2Cu3 crystal.

Computed properties:
V	186.8	Å³/cell
ΔH_f (0 K)	-163.3	meV per atom
spin magnetization	0.0	μB/f.u.

The structure in POSCAR format:
```
Y3Tm2Cu3
1.0
3.468 0.000 -0.559
-0.192 4.962 -1.193
-0.030 -0.017 10.864
Y Cu Tm
3 3 2
Direct
0.383 0.383 0.766 Y
0.617 0.617 0.234 Y
0.500 0.000 0.000 Y
0.883 0.883 0.767 Cu
0.000 0.500 0.000 Cu
0.117 0.117 0.233 Cu
0.274 0.774 0.548 Tm
0.726 0.226 0.452 Tm
```

=====

## PuB6Ir5 (GGA-PBE)

Data for a relaxed PuB6Ir5 crystal.

Computed properties:
V	141.4	Å³/cell
ΔH_f (0 K)	-194.2	meV per atom
spin magnetization	4.8	μB/f.u.

The structure in POSCAR format:
```
PuB6Ir5
1.0
-0.215 5.109 1.323
-3.388 2.267 4.614
3.943 1.868 3.973
B Ir Pu
6 5 1
Direct
0.472 0.629 0.608 B
0.528 0.371 0.392 B
0.623 0.819 0.000 B
0.920 0.371 0.608 B
0.080 0.629 0.392 B
0.377 0.181 0.000 B
0.699 0.000 0.601 Ir
0.126 0.500 0.747 Ir
0.500 0.500 0.000 Ir
0.874 0.500 0.253 Ir
0.301 0.000 0.399 Ir
0.000 0.000 0.000 Pu
```

=====

Calculated total energy, -5.38; -5.70; -5.53; -8.30; -4.62; -3.16; -5.24; -8.42 eV per atom (same order as the records).
Calculated density of states at the Fermi level, 1.02; 0.00; 2.76; 40.75; 8.91; 4.00; 7.07; 8.39 states/eV/cell (same order as the records).